{
  "formula": "Er5Th2Sc4",
  "functional": "PBE",
  "state": "optimized geometry",
  "crystal_system": "monoclinic",
  "m_tot_mub_per_fu": 0.057,
  "de_polymorph_mev_per_atom": 0,
  "lattice_angstrom": [[-2.213, 2.384, -1.057], [-5.944, -3.385, 4.809], [4.090, 7.257, 7.809]],
  "species": ["Er", "Er", "Er", "Er", "Er", "Sc", "Sc", "Sc", "Sc", "Th", "Th"],
  "fractional_positions": [[0.000, 0.500, 0.000], [0.000, 0.546, 0.295], [0.000, 0.842, 0.867], [0.000, 0.158, 0.133], [0.000, 0.454, 0.705], [0.500, 0.306, 0.462], [0.500, 0.190, 0.877], [0.500, 0.694, 0.538], [0.500, 0.810, 0.123], [0.000, 0.038, 0.639], [0.000, 0.962, 0.361]]
}



{
  "formula": "ErThSc",
  "functional": "PBE",
  "state": "optimized geometry",
  "crystal_system": "orthorhombic",
  "m_tot_mub_per_fu": 0.001,
  "de_polymorph_mev_per_atom": 59,
  "lattice_angstrom": [[-2.937, -1.712, -4.337], [7.112, -5.868, -2.500], [-2.684, -4.843, 3.730]],
  "species": ["Er", "Er", "Er", "Er", "Sc", "Sc", "Sc", "Sc", "Th", "Th", "Th", "Th"],
  "fractional_positions": [[0.497, 0.333, 0.500], [0.997, 0.167, 0.500], [0.003, 0.833, 0.500], [0.503, 0.667, 0.500], [0.000, 0.500, 0.756], [0.500, 0.000, 0.244], [0.000, 0.500, 0.244], [0.500, 0.000, 0.756], [0.000, 0.167, 0.000], [0.000, 0.833, 0.000], [0.500, 0.667, 0.000], [0.500, 0.333, 0.000]]
}



{
  "formula": "ErThSc2",
  "functional": "PBE",
  "state": "optimized geometry",
  "crystal_system": "tetragonal",
  "m_tot_mub_per_fu": 0.000,
  "de_polymorph_mev_per_atom": 0,
  "lattice_angstrom": [[-1.258, 2.058, -3.850], [1.303, -4.021, -2.575], [-4.574, -1.817, 0.523]],
  "species": ["Er", "Th", "Sc", "Sc"],
  "fractional_positions": [[0.500, 0.000, 0.000], [0.500, 0.500, 0.500], [0.000, 0.000, 0.500], [0.000, 0.500, 0.000]]
}



{
  "formula": "ErTh4Sc7",
  "functional": "PBE",
  "state": "optimized geometry",
  "crystal_system": "monoclinic",
  "m_tot_mub_per_fu": 0.026,
  "lattice_angstrom": [[-0.213, -2.332, -5.041], [10.456, 0.422, -3.703], [0.738, -6.305, -0.179]],
  "species": ["Sc", "Sc", "Sc", "Sc", "Sc", "Sc", "Sc", "Er", "Th", "Th", "Th", "Th"],
  "fractional_positions": [[0.039, 0.627, 0.296], [0.791, 0.916, 0.501], [0.359, 0.513, 0.770], [0.209, 0.084, 0.499], [0.500, 0.000, 0.000], [0.961, 0.373, 0.704], [0.641, 0.487, 0.230], [0.000, 0.000, 0.000], [0.375, 0.772, 0.477], [0.625, 0.228, 0.523], [0.702, 0.706, 0.891], [0.298, 0.294, 0.109]]
}



{
  "formula": "ErTh2Sc2",
  "functional": "PBE",
  "state": "optimized geometry",
  "crystal_system": "monoclinic",
  "m_tot_mub_per_fu": 0.000,
  "de_polymorph_mev_per_atom": 0,
  "lattice_angstrom": [[-3.942, 4.362, -1.345], [-4.533, -4.728, -2.052], [-10.477, 5.235, 11.082]],
  "species": ["Th", "Th", "Th", "Th", "Th", "Th", "Th", "Th", "Er", "Er", "Er", "Er", "Sc", "Sc", "Sc", "Sc", "Sc", "Sc", "Sc", "Sc"],
  "fractional_positions": [[0.744, 0.125, 0.502], [0.256, 0.875, 0.498], [0.542, 0.626, 0.902], [0.756, 0.625, 0.498], [0.958, 0.126, 0.098], [0.458, 0.374, 0.098], [0.042, 0.874, 0.902], [0.244, 0.375, 0.502], [0.153, 0.621, 0.700], [0.347, 0.121, 0.300], [0.653, 0.879, 0.700], [0.847, 0.379, 0.300], [0.056, 0.371, 0.901], [0.647, 0.374, 0.700], [0.147, 0.126, 0.700], [0.444, 0.871, 0.099], [0.944, 0.629, 0.099], [0.353, 0.626, 0.300], [0.853, 0.874, 0.300], [0.556, 0.129, 0.901]]
}



{
  "formula": "ErTh3Sc",
  "functional": "PBE",
  "state": "optimized geometry",
  "crystal_system": "orthorhombic",
  "m_tot_mub_per_fu": 0.000,
  "de_polymorph_mev_per_atom": 193,
  "lattice_angstrom": [[8.954, 0.000, 0.000], [0.000, 9.207, 0.000], [0.000, 0.000, 7.679]],
  "species": ["Sc", "Sc", "Sc", "Sc", "Th", "Th", "Th", "Th", "Th", "Th", "Th", "Th", "Th", "Th", "Th", "Th", "Er", "Er", "Er", "Er"],
  "fractional_positions": [[0.677, 0.385, 0.250], [0.177, 0.115, 0.250], [0.823, 0.885, 0.750], [0.323, 0.615, 0.750], [0.636, 0.641, 0.530], [0.636, 0.641, 0.970], [0.156, 0.181, 0.750], [0.344, 0.681, 0.250], [0.864, 0.141, 0.030], [0.864, 0.141, 0.470], [0.136, 0.859, 0.530], [0.364, 0.359, 0.030], [0.136, 0.859, 0.970], [0.364, 0.359, 0.470], [0.656, 0.319, 0.750], [0.844, 0.819, 0.250], [0.500, 0.000, 0.000], [0.000, 0.500, 0.500], [0.000, 0.500, 0.000], [0.500, 0.000, 0.500]]
}



{
  "formula": "ErTh4Sc",
  "functional": "PBE",
  "state": "optimized geometry",
  "crystal_system": "hexagonal",
  "m_tot_mub_per_fu": 0.000,
  "de_polymorph_mev_per_atom": 49,
  "lattice_angstrom": [[9.750, 0.000, 0.000], [0.000, 4.403, 3.500], [0.000, 0.140, 8.860]],
  "species": ["Th", "Th", "Th", "Th", "Th", "Th", "Th", "Th", "Er", "Er", "Sc", "Sc"],
  "fractional_positions": [[0.166, 0.255, 0.244], [0.834, 0.255, 0.244], [0.666, 0.245, 0.756], [0.334, 0.245, 0.756], [0.166, 0.745, 0.756], [0.334, 0.755, 0.244], [0.834, 0.745, 0.756], [0.666, 0.755, 0.244], [0.500, 0.000, 0.500], [0.000, 0.500, 0.500], [0.500, 0.500, 0.000], [0.000, 0.000, 0.000]]
}



{
  "formula": "ErTh2Sc",
  "functional": "PBE",
  "state": "optimized geometry",
  "crystal_system": "orthorhombic",
  "m_tot_mub_per_fu": 0.000,
  "de_polymorph_mev_per_atom": 13,
  "lattice_angstrom": [[3.497, 0.000, 0.000], [0.000, 5.993, -0.587], [0.000, -1.367, 5.864]],
  "species": ["Th", "Th", "Er", "Sc"],
  "fractional_positions": [[0.000, 0.000, 0.500], [0.000, 0.500, 0.000], [0.500, 0.000, 0.000], [0.500, 0.500, 0.500]]
}



{
  "formula": "ErTh6Sc",
  "functional": "PBE",
  "state": "optimized geometry",
  "crystal_system": "tetragonal",
  "m_tot_mub_per_fu": 0.000,
  "lattice_angstrom": [[5.003, 0.000, 0.000], [0.000, 5.003, 0.000], [0.000, 0.000, 10.002]],
  "species": ["Th", "Th", "Th", "Th", "Th", "Th", "Er", "Sc"],
  "fractional_positions": [[0.500, 0.500, 0.500], [0.500, 0.000, 0.246], [0.000, 0.500, 0.246], [0.500, 0.000, 0.754], [0.500, 0.500, 0.000], [0.000, 0.500, 0.754], [0.000, 0.000, 0.500], [0.000, 0.000, 0.000]]
}



{
  "formula": "ErTh3Sc6",
  "functional": "PBE",
  "state": "optimized geometry",
  "crystal_system": "trigonal",
  "m_tot_mub_per_fu": 0.001,
  "de_polymorph_mev_per_atom": 275,
  "lattice_angstrom": [[-1.778, 1.413, 8.987], [-6.239, -5.278, 4.376], [0.126, -3.808, 5.404]],
  "species": ["Sc", "Sc", "Sc", "Sc", "Sc", "Sc", "Th", "Th", "Th", "Er"],
  "fractional_positions": [[0.436, 0.769, 0.694], [0.769, 0.102, 0.694], [0.102, 0.436, 0.694], [0.931, 0.598, 0.207], [0.264, 0.931, 0.207], [0.598, 0.264, 0.207], [0.098, 0.098, 0.705], [0.602, 0.602, 0.194], [0.350, 0.350, 0.950], [0.850, 0.850, 0.450]]
}



{
  "formula": "ErTh3Sc3",
  "functional": "PBE",
  "state": "optimized geometry",
  "crystal_system": "hexagonal",
  "m_tot_mub_per_fu": 0.000,
  "de_polymorph_mev_per_atom": 17,
  "lattice_angstrom": [[-5.548, 0.722, 0.227], [-1.031, -5.689, -7.107], [-0.078, -3.290, 8.550]],
  "species": ["Th", "Th", "Th", "Th", "Th", "Th", "Sc", "Sc", "Sc", "Sc", "Sc", "Sc", "Er", "Er"],
  "fractional_positions": [[0.750, 0.901, 0.528], [0.750, 0.627, 0.099], [0.250, 0.528, 0.627], [0.750, 0.472, 0.373], [0.250, 0.373, 0.901], [0.250, 0.099, 0.472], [0.250, 0.228, 0.189], [0.250, 0.811, 0.040], [0.750, 0.040, 0.228], [0.250, 0.960, 0.772], [0.750, 0.772, 0.811], [0.750, 0.189, 0.960], [0.250, 0.667, 0.333], [0.750, 0.333, 0.667]]
}



{
  "formula": "ErTh3Sc12",
  "functional": "PBE",
  "state": "optimized geometry",
  "crystal_system": "tetragonal",
  "m_tot_mub_per_fu": 0.001,
  "lattice_angstrom": [[4.718, 0.000, 0.000], [0.000, 4.718, 0.000], [0.000, 0.000, 18.852]],
  "species": ["Sc", "Sc", "Sc", "Sc", "Sc", "Sc", "Sc", "Sc", "Sc", "Sc", "Sc", "Sc", "Th", "Th", "Th", "Er"],
  "fractional_positions": [[0.000, 0.500, 0.126], [0.000, 0.500, 0.625], [0.500, 0.500, 0.500], [0.500, 0.500, 0.750], [0.500, 0.000, 0.375], [0.500, 0.500, 0.000], [0.000, 0.500, 0.375], [0.500, 0.000, 0.874], [0.500, 0.000, 0.625], [0.500, 0.500, 0.250], [0.000, 0.500, 0.874], [0.500, 0.000, 0.126], [0.000, 0.000, 0.250], [0.000, 0.000, 0.500], [0.000, 0.000, 0.750], [0.000, 0.000, 0.000]]
}



{
  "formula": "Er2ThSc",
  "functional": "PBE",
  "state": "optimized geometry",
  "crystal_system": "tetragonal",
  "m_tot_mub_per_fu": 0.001,
  "de_polymorph_mev_per_atom": 12,
  "lattice_angstrom": [[4.978, 0.000, 0.000], [0.000, 4.859, 0.000], [0.000, 0.000, 4.859]],
  "species": ["Sc", "Th", "Er", "Er"],
  "fractional_positions": [[0.500, 0.000, 0.000], [0.500, 0.500, 0.500], [0.000, 0.500, 0.000], [0.000, 0.000, 0.500]]
}



{
  "formula": "ErThSc2",
  "functional": "PBE",
  "state": "optimized geometry",
  "crystal_system": "trigonal",
  "m_tot_mub_per_fu": 0.001,
  "de_polymorph_mev_per_atom": 15,
  "lattice_angstrom": [[-0.884, 2.963, -1.531], [-0.874, 0.024, -3.338], [-10.931, -0.695, 1.075]],
  "species": ["Sc", "Sc", "Er", "Th"],
  "fractional_positions": [[0.249, 0.249, 0.254], [0.751, 0.751, 0.746], [0.000, 0.000, 0.000], [0.500, 0.500, 0.500]]
}



{
  "formula": "Er3Th3Sc",
  "functional": "PBE",
  "state": "optimized geometry",
  "crystal_system": "trigonal",
  "m_tot_mub_per_fu": 0.000,
  "de_polymorph_mev_per_atom": 285,
  "lattice_angstrom": [[-6.975, -3.334, -4.044], [-3.006, -7.927, 2.063], [-7.582, -0.956, 4.210]],
  "species": ["Th", "Th", "Th", "Th", "Th", "Th", "Er", "Er", "Er", "Er", "Er", "Er", "Sc", "Sc"],
  "fractional_positions": [[0.207, 0.935, 0.701], [0.793, 0.065, 0.299], [0.701, 0.207, 0.935], [0.299, 0.793, 0.065], [0.065, 0.299, 0.793], [0.935, 0.701, 0.207], [0.440, 0.937, 0.262], [0.937, 0.262, 0.440], [0.738, 0.560, 0.063], [0.560, 0.063, 0.738], [0.063, 0.738, 0.560], [0.262, 0.440, 0.937], [0.654, 0.654, 0.654], [0.346, 0.346, 0.346]]
}



{
  "formula": "ErTh2Sc",
  "functional": "PBE",
  "state": "optimized geometry",
  "crystal_system": "cubic",
  "m_tot_mub_per_fu": 0.001,
  "de_polymorph_mev_per_atom": 64,
  "lattice_angstrom": [[-0.053, 3.609, -4.183], [3.368, -0.728, -4.320], [-2.075, -1.483, -4.902]],
  "species": ["Th", "Th", "Sc", "Er"],
  "fractional_positions": [[0.250, 0.250, 0.250], [0.750, 0.750, 0.750], [0.500, 0.500, 0.500], [0.000, 0.000, 0.000]]
}



{
  "formula": "Er8Th6Sc",
  "functional": "PBE",
  "state": "optimized geometry",
  "crystal_system": "trigonal",
  "m_tot_mub_per_fu": 0.001,
  "lattice_angstrom": [[-2.328, 5.670, 6.111], [-6.271, -2.149, 5.565], [2.066, -1.619, 8.248]],
  "species": ["Th", "Th", "Th", "Th", "Th", "Th", "Er", "Er", "Er", "Er", "Er", "Er", "Er", "Er", "Sc"],
  "fractional_positions": [[0.258, 0.075, 0.540], [0.925, 0.460, 0.742], [0.540, 0.258, 0.075], [0.075, 0.540, 0.258], [0.742, 0.925, 0.460], [0.460, 0.742, 0.925], [0.678, 0.802, 0.119], [0.322, 0.198, 0.881], [0.802, 0.119, 0.678], [0.580, 0.580, 0.580], [0.881, 0.322, 0.198], [0.420, 0.420, 0.420], [0.119, 0.678, 0.802], [0.198, 0.881, 0.322], [0.000, 0.000, 0.000]]
}



{
  "formula": "ErTh2Sc",
  "functional": "PBE",
  "state": "optimized geometry",
  "crystal_system": "tetragonal",
  "m_tot_mub_per_fu": 0.000,
  "de_polymorph_mev_per_atom": 4,
  "lattice_angstrom": [[4.848, 0.000, 0.000], [0.000, 4.975, 0.000], [0.000, 0.000, 4.975]],
  "species": ["Th", "Th", "Sc", "Er"],
  "fractional_positions": [[0.000, 0.500, 0.000], [0.000, 0.000, 0.500], [0.500, 0.000, 0.000], [0.500, 0.500, 0.500]]
}



{
  "formula": "Er8ThSc3",
  "functional": "PBE",
  "state": "optimized geometry",
  "crystal_system": "tetragonal",
  "m_tot_mub_per_fu": 0.000,
  "lattice_angstrom": [[5.607, 0.000, -3.172], [-1.794, 5.312, -3.172], [2.160, 3.009, 10.360]],
  "species": ["Er", "Er", "Er", "Er", "Er", "Er", "Er", "Er", "Th", "Sc", "Sc", "Sc"],
  "fractional_positions": [[0.876, 0.876, 0.254], [0.378, 0.378, 0.254], [0.622, 0.124, 0.746], [0.876, 0.378, 0.254], [0.124, 0.622, 0.746], [0.622, 0.622, 0.746], [0.124, 0.124, 0.746], [0.378, 0.876, 0.254], [0.000, 0.000, 0.000], [0.250, 0.750, 0.500], [0.500, 0.500, 0.000], [0.750, 0.250, 0.500]]
}



{
  "formula": "Er2ThSc",
  "functional": "PBE",
  "state": "optimized geometry",
  "crystal_system": "trigonal",
  "m_tot_mub_per_fu": 0.001,
  "de_polymorph_mev_per_atom": 24,
  "lattice_angstrom": [[3.495, 0.000, 0.000], [1.747, 3.026, 0.000], [1.747, 1.009, 11.197]],
  "species": ["Er", "Er", "Th", "Sc"],
  "fractional_positions": [[0.252, 0.252, 0.245], [0.748, 0.748, 0.755], [0.500, 0.500, 0.500], [0.000, 0.000, 0.000]]
}



{
  "formula": "ErTh4Sc2",
  "functional": "PBE",
  "state": "optimized geometry",
  "crystal_system": "tetragonal",
  "m_tot_mub_per_fu": 0.001,
  "de_polymorph_mev_per_atom": 0,
  "lattice_angstrom": [[-4.591, 4.641, 1.145], [0.980, -5.170, 4.030], [5.694, 3.363, 0.442]],
  "species": ["Sc", "Sc", "Th", "Th", "Th", "Th", "Er"],
  "fractional_positions": [[0.250, 0.750, 0.500], [0.750, 0.250, 0.500], [0.195, 0.196, 0.391], [0.804, 0.195, 0.000], [0.805, 0.804, 0.609], [0.196, 0.805, 0.000], [0.500, 0.500, 0.000]]
}



{
  "formula": "Er2ThSc",
  "functional": "PBE",
  "state": "optimized geometry",
  "crystal_system": "monoclinic",
  "m_tot_mub_per_fu": 0.000,
  "de_polymorph_mev_per_atom": 0,
  "lattice_angstrom": [[10.600, -3.344, -4.293], [-5.784, 7.511, 1.496], [-3.867, 2.146, 5.306]],
  "species": ["Er", "Er", "Er", "Er", "Th", "Th", "Sc", "Sc"],
  "fractional_positions": [[0.750, 0.000, 0.000], [0.750, 0.500, 0.500], [0.250, 0.000, 0.000], [0.250, 0.500, 0.500], [0.750, 0.000, 0.500], [0.250, 0.000, 0.500], [0.750, 0.500, 0.000], [0.250, 0.500, 0.000]]
}



Here are the calculated total energy numbers, same order: -61.33; -72.10; -24.51; -75.24; -127.40; -128.01; -80.05; -25.54; -54.95; -60.13; -90.62; -102.25; -22.72; -24.45; -79.86; -25.34; -85.32; -25.58; -54.28; -22.67; -44.99; -45.53 (eV for the cell shown).
Here are the calculated mass density numbers, same order: 7.58; 8.40; 7.30; 6.87; 8.32; 9.53; 10.08; 9.35; 10.64; 6.51; 8.14; 5.55; 8.64; 7.28; 8.96; 9.42; 9.85; 9.36; 6.81; 8.57; 9.17; 8.69 (g cm⁻³).
Here are the calculated DFT formation energy numbers, same order: 0.150; 0.096; 0.034; 0.277; 0.043; 0.230; 0.092; 0.048; 0.058; 0.468; 0.072; 0.035; 0.040; 0.049; 0.336; 0.099; 0.136; 0.038; 0.720; 0.052; 0.273; 0.028 (eV per atom).